Record 1
NaTcO2 | PBE | relaxed

Cell lengths 2.7134, 2.7134, 5.7444 Å; angles 90.00, 90.00, 90.00 degrees
Last column: magnetic moment on the atom in μB.
Fractional positions:
Na  0.5000  0.5000  0.5000  0.01
Tc  0.5000  0.5000  0.0000  1.06
O  0.0000  0.0000  0.7902  0.03
O  0.0000  0.0000  0.2098  0.03

Calculated values
**E_tot**: -6.25 eV/atom
**Total magnetization**: 1.2 μB per formula unit
**Offset from the most stable computed form**: 0.2730 eV per atom
**Energy relative to the elements, uncorrected**: -327 kJ/mol of formula units
**DOS(E_F)**: 1.71 states/eV per cell

Record 2
NaTc2O8 | PBE | relaxed

Cell lengths 4.7066, 4.7066, 6.0630 Å; angles 90.00, 90.00, 90.00 degrees
Last column: magnetic moment on the atom in μB.
Fractional positions:
Na  0.5000  0.5000  0.5000  0.00
Tc  0.5000  0.0000  0.0000  0.76
Tc  0.0000  0.5000  0.0000  0.76
O  0.7495  0.7495  0.1932  0.18
O  0.7495  0.2505  0.8068  0.18
O  0.7495  0.7495  0.8068  0.18
O  0.7495  0.2505  0.1932  0.18
O  0.2505  0.7495  0.1932  0.18
O  0.2505  0.7495  0.8068  0.18
O  0.2505  0.2505  0.1932  0.18
O  0.2505  0.2505  0.8068  0.18

Calculated values
**E_tot**: -6.21 eV/atom
**Total magnetization**: 3.3 μB per formula unit
**Offset from the most stable computed form**: 0.6314 eV per atom
**Energy relative to the elements, uncorrected**: -638 kJ/mol of formula units
**DOS(E_F)**: 6.72 states/eV per cell

Record 3
NaTcO2 | PBE | relaxed

Cell lengths 4.7426, 4.7426, 6.2460 Å; angles 67.69, 67.69, 90.00 degrees
Fractional positions:
Na  0.5000  0.5000  0.0000
Na  0.2500  0.7500  0.5000
Tc  0.0000  0.0000  0.0000
Tc  0.7500  0.2500  0.5000
O  0.7033  0.1250  0.2500
O  0.0467  0.6250  0.2500
O  0.3750  0.2967  0.7500
O  0.8750  0.9533  0.7500

Calculated values
**E_tot**: -6.45 eV/atom
**Total magnetization**: 0.0 μB per formula unit
**Offset from the most stable computed form**: 0.0750 eV per atom
**Energy relative to the elements, uncorrected**: -404 kJ/mol of formula units
**DOS(E_F)**: 1.94 states/eV per cell